The following is a PBE-GGA calculation of a relaxed structure of Er3NbRu4, from the Alexandria database.

Lattice parameters (Å, degrees): 3.2961 3.2961 13.4870 90.00 90.00 90.00
Closest atoms and distances in Å follow each position.
Atoms (fractional coordinates):
Er 0.0000 0.0000 0.0000  8 Ru 2.90
Er 0.0000 0.0000 0.2505  8 Ru 2.85-3.00
Er 0.0000 0.0000 0.7495  8 Ru 2.85-3.00
Nb 0.0000 0.0000 0.5000  8 Ru 2.76
Ru 0.5000 0.5000 0.1283  8 Er 2.85-2.90
Ru 0.5000 0.5000 0.3902  4 Nb 2.76, 1 Ru 2.96, 4 Er 3.00
Ru 0.5000 0.5000 0.6098  4 Nb 2.76, 1 Ru 2.96, 4 Er 3.00
Ru 0.5000 0.5000 0.8717  8 Er 2.85-2.90

Summary:
* total magnetic moment: 0.0000 μB per atom
* energy relative to the elements: -0.404 eV/atom

---

The following is a PBE-GGA calculation of a relaxed structure of NaHgPb4, from the Alexandria database.

Lattice parameters (Å, degrees): 5.8628 5.8628 11.5572 107.96 107.96 75.96
Closest atoms and distances in Å follow each position.
Atoms (fractional coordinates):
Na 0.2492 0.2492 0.0000  10 Pb 3.42-3.55, 2 Na 3.61
Na 0.7508 0.7508 0.0000  10 Pb 3.42-3.55, 2 Na 3.61
Hg 0.0000 0.5000 0.5000  10 Pb 3.39-3.54, 2 Hg 3.61
Hg 0.5000 0.0000 0.5000  10 Pb 3.39-3.54, 2 Hg 3.61
Pb 0.0849 0.0849 0.6659  4 Hg 3.40-3.44, 7 Pb 3.42-3.61, 1 Na 3.55
Pb 0.1680 0.6666 0.8327  4 Na 3.42-3.44, 7 Pb 3.42-3.62, 1 Hg 3.54
Pb 0.3334 0.8320 0.1673  4 Na 3.42-3.44, 7 Pb 3.42-3.62, 1 Hg 3.54
Pb 0.4140 0.4140 0.3341  4 Hg 3.39-3.45, 7 Pb 3.43-3.61, 1 Na 3.55
Pb 0.5860 0.5860 0.6659  4 Hg 3.39-3.45, 7 Pb 3.43-3.61, 1 Na 3.55
Pb 0.6666 0.1680 0.8327  4 Na 3.42-3.44, 7 Pb 3.42-3.62, 1 Hg 3.54
Pb 0.8320 0.3334 0.1673  4 Na 3.42-3.44, 7 Pb 3.42-3.62, 1 Hg 3.54
Pb 0.9151 0.9151 0.3341  4 Hg 3.40-3.44, 7 Pb 3.42-3.61, 1 Na 3.55

Summary:
* total magnetic moment: 0.0000 μB per atom
* energy above the most stable polymorph in this dataset: 21 meV per atom
* energy relative to the elements: -0.047 eV/atom

---

The following is a PBE-GGA calculation of a relaxed structure of Cr4ReAs, from the Alexandria database.

Lattice parameters (Å, degrees): 4.7649 4.7649 4.7649 60.00 60.00 60.00
Closest atoms and distances in Å follow each position.
Atoms (fractional coordinates):
Cr 0.3769 0.3769 0.3769  6 Cr 2.35-2.42
Cr 0.3769 0.3769 0.8694  6 Cr 2.35-2.42
Cr 0.3769 0.8694 0.3769  6 Cr 2.35-2.42
Cr 0.8694 0.3769 0.3769  6 Cr 2.35-2.42
Re 0.0000 0.0000 0.0000  12 Cr 2.80, 4 As 2.92
As 0.7500 0.7500 0.7500  12 Cr 2.79, 4 Re 2.92

Summary:
* total magnetic moment: 0.0000 μB per atom
* energy relative to the elements: 0.287 eV/atom

---

The following is a PBE-GGA calculation of a relaxed structure of Rb2OsSeCl6, from the Alexandria database.

Lattice parameters (Å, degrees): 7.3274 7.3274 7.3274 112.65 112.65 103.29
Closest atoms and distances in Å follow each position.
Atoms (fractional coordinates):
Rb 0.2500 0.7500 0.5000  12 Cl 3.70-4.06
Rb 0.7500 0.2500 0.5000  12 Cl 3.70-4.06
Os 0.0000 0.0000 0.0000  6 Cl 2.26-2.39
Se 0.5000 0.5000 0.0000  2 Cl 2.29
Cl 0.2077 0.2077 0.4154  1 Os 2.39
Cl 0.2077 0.7923 0.0000  1 Os 2.39
Cl 0.2486 0.2486 0.0000  1 Os 2.26, 1 Se 2.29
Cl 0.7514 0.7514 0.0000  1 Os 2.26, 1 Se 2.29
Cl 0.7923 0.2077 0.0000  1 Os 2.39
Cl 0.7923 0.7923 0.5846  1 Os 2.39

Summary:
* total magnetic moment: 0.2015 μB per atom
* ΔE_f (raw): -0.752 eV per atom

---

The following is a PBE-GGA calculation of a relaxed structure of La2SbICl, from the Alexandria database.

Lattice parameters (Å, degrees): 5.5333 5.5333 5.8901 90.00 90.00 90.00
Closest atoms and distances in Å follow each position.
Atoms (fractional coordinates):
La 0.0000 0.5000 0.0000  2 Cl 2.77
La 0.5000 0.0000 0.0000  2 Cl 2.77
Sb 0.0000 0.0000 0.5000  4 I 3.91, 8 La 4.04
I 0.5000 0.5000 0.5000  2 Cl 2.95
Cl 0.5000 0.5000 0.0000  4 La 2.77, 2 I 2.95

Summary:
* total magnetic moment: 0.0000 μB per atom
* ΔE_f (raw): -0.512 eV per atom

---

The following is a PBE-GGA calculation of a relaxed structure of Na2SmTc2N4, from the Alexandria database.

Lattice parameters (Å, degrees): 6.0428 6.0428 8.7084 124.40 124.40 33.17
Closest atoms and distances in Å follow each position.
Atoms (fractional coordinates):
Na 0.1510 0.1510 0.2499  4 N 2.52-2.61
Na 0.8490 0.8490 0.7501  4 N 2.52-2.61
Sm 0.0000 0.0000 0.5000  6 N 2.45
Tc 0.3498 0.3498 0.1207  4 N 1.87-2.07
Tc 0.6502 0.6502 0.8793  4 N 1.87-2.07
N 0.2199 0.2199 0.8259  3 Tc 2.07
N 0.4602 0.4602 0.6640  1 Tc 1.87
N 0.5398 0.5398 0.3360  1 Tc 1.87
N 0.7801 0.7801 0.1741  3 Tc 2.07

Summary:
* total magnetic moment: 0.0000 μB per atom
* ΔE_f (raw): -0.376 eV per atom

---

The following is a PBE-GGA calculation of a relaxed structure of K4Er3TlO8, from the Alexandria database.

Lattice parameters (Å, degrees): 7.4263 7.4263 7.4263 55.38 55.38 55.38
Closest atoms and distances in Å follow each position.
Atoms (fractional coordinates):
K 0.0000 0.0000 0.0000  6 O 2.74
K 0.0000 0.5000 0.5000  6 O 2.80-2.82
K 0.5000 0.0000 0.5000  6 O 2.80-2.82
K 0.5000 0.5000 0.0000  6 O 2.80-2.82
Er 0.0000 0.0000 0.5000  6 O 2.29-2.30
Er 0.0000 0.5000 0.0000  6 O 2.29-2.30
Er 0.5000 0.0000 0.0000  6 O 2.29-2.30
Tl 0.5000 0.5000 0.5000  6 O 2.38
O 0.2206 0.7354 0.7354  2 Er 2.30, 1 Tl 2.38
O 0.2272 0.2272 0.2272  3 Er 2.29
O 0.2646 0.2646 0.7794  2 Er 2.30, 1 Tl 2.38
O 0.2646 0.7794 0.2646  2 Er 2.30, 1 Tl 2.38
O 0.7354 0.2206 0.7354  2 Er 2.30, 1 Tl 2.38
O 0.7354 0.7354 0.2206  2 Er 2.30, 1 Tl 2.38
O 0.7728 0.7728 0.7728  3 Er 2.29
O 0.7794 0.2646 0.2646  2 Er 2.30, 1 Tl 2.38

Summary:
* total magnetic moment: 0.0000 μB per atom
* ΔE_f (raw): -2.344 eV per atom

---

The following is a PBE-GGA calculation of a relaxed structure of KY2In, from the Alexandria database.

Lattice parameters (Å, degrees): 3.7321 3.7493 10.2711 90.00 90.00 90.00
Closest atoms and distances in Å follow each position.
Atoms (fractional coordinates):
K 0.0000 0.0000 0.0000  4 K 3.73-3.75, 4 In 3.74
Y 0.0000 0.0000 0.5653  4 In 3.21, 4 Y 3.49
Y 0.5000 0.5000 0.3438  8 Y 3.49-3.75
In 0.5000 0.5000 0.7429  4 Y 3.21

Summary:
* total magnetic moment: 0.3225 μB per atom
* energy relative to the elements: 0.020 eV/atom

---

The following is a PBE-GGA calculation of a relaxed structure of Na6SrCd6, from the Alexandria database.

Lattice parameters (Å, degrees): 8.3108 8.3108 8.3108 137.32 98.31 96.91
Closest atoms and distances in Å follow each position.
Atoms (fractional coordinates):
Na 0.1475 0.5000 0.6475  3 Na 3.21-3.44, 6 Cd 3.34-3.51
Na 0.1593 0.1593 0.0000  6 Cd 3.27-3.32, 1 Na 3.51
Na 0.2986 0.0000 0.2986  6 Cd 3.19-3.24, 2 Na 3.44
Na 0.7014 0.0000 0.7014  6 Cd 3.19-3.24, 2 Na 3.44
Na 0.8407 0.8407 0.0000  6 Cd 3.27-3.32, 1 Na 3.51
Na 0.8525 0.5000 0.3525  3 Na 3.21-3.44, 6 Cd 3.34-3.51
Sr 0.5000 0.5000 0.0000  8 Na 3.73-3.83, 12 Cd 3.85-4.16
Cd 0.0000 0.0000 0.5000  4 Cd 3.02-3.13, 6 Na 3.19-3.34
Cd 0.0000 0.5000 0.0000  4 Cd 3.02-3.13, 6 Na 3.19-3.34
Cd 0.2836 0.7836 0.5000  4 Cd 3.13, 4 Na 3.24-3.32
Cd 0.5000 0.0000 0.0000  4 Cd 3.02-3.13, 6 Na 3.19-3.34
Cd 0.5000 0.5000 0.5000  4 Cd 3.02-3.13, 6 Na 3.19-3.34
Cd 0.7164 0.2164 0.5000  4 Cd 3.13, 4 Na 3.24-3.32

Summary:
* total magnetic moment: 0.0000 μB per atom
* energy relative to the elements: -0.113 eV/atom

---

The following is a PBE-GGA calculation of a relaxed structure of Li3CuGe, from the Alexandria database.

Lattice parameters (Å, degrees): 6.2809 6.2809 6.2809 86.76 116.20 127.95
Closest atoms and distances in Å follow each position.
Atoms (fractional coordinates):
Li 0.1848 0.0027 0.6821  2 Cu 2.52, 3 Ge 2.59-2.76, 4 Li 2.78-2.79
Li 0.2488 0.0200 0.2688  1 Cu 2.47, 2 Li 2.76
Li 0.2488 0.4800 0.7287  1 Cu 2.47, 2 Li 2.76
Li 0.3206 0.5027 0.3179  2 Cu 2.52, 3 Ge 2.59-2.76, 4 Li 2.78-2.79
Li 0.7512 0.5200 0.2713  1 Cu 2.47, 2 Li 2.76
Li 0.7512 0.9800 0.7312  1 Cu 2.47, 2 Li 2.76
Cu 0.2529 0.7531 0.9998  2 Ge 2.37-2.38, 4 Li 2.47-2.52
Cu 0.7533 0.2531 0.0002  2 Ge 2.37-2.38, 4 Li 2.47-2.52
Ge 0.7110 0.5024 0.7086  2 Cu 2.37-2.38, 1 Li 2.59
Ge 0.7938 0.0024 0.2914  2 Cu 2.37-2.38, 1 Li 2.59

Summary:
* total magnetic moment: 0.0000 μB per atom
* energy above the most stable polymorph in this dataset: 0 meV per atom
* energy relative to the elements: -0.131 eV/atom

---

The following is a PBE-GGA calculation of a relaxed structure of Zr5B2Pb, from the Alexandria database.

Lattice parameters (Å, degrees): 8.2001 8.2001 8.2001 131.52 131.52 70.98
Closest atoms and distances in Å follow each position.
Atoms (fractional coordinates):
Zr 0.0000 0.0000 0.0000  4 B 2.76, 8 Zr 2.98
Zr 0.0512 0.5512 0.8484  3 B 2.53-2.68
Zr 0.2029 0.0512 0.5000  3 B 2.53-2.68
Zr 0.2971 0.7971 0.8484  3 B 2.53-2.68
Zr 0.4488 0.2971 0.5000  3 B 2.53-2.68
Zr 0.5000 0.5000 0.0000  4 B 2.76, 8 Zr 2.98
Zr 0.5512 0.7029 0.5000  3 B 2.53-2.68
Zr 0.7029 0.2029 0.1516  3 B 2.53-2.68
Zr 0.7971 0.9488 0.5000  3 B 2.53-2.68
Zr 0.9488 0.4488 0.1516  3 B 2.53-2.68
B 0.1034 0.3966 0.5000  1 B 1.97
B 0.3966 0.8966 0.2932  1 B 1.97
B 0.6034 0.1034 0.7068  1 B 1.97
B 0.8966 0.6034 0.5000  1 B 1.97
Pb 0.2500 0.2500 0.0000  10 Zr 3.01-3.34
Pb 0.7500 0.7500 0.0000  10 Zr 3.01-3.34

Summary:
* total magnetic moment: 0.0000 μB per atom
* energy relative to the elements: -0.316 eV/atom

---

The following is a PBE-GGA calculation of a relaxed structure of Ge3WS, from the Alexandria database.

Lattice parameters (Å, degrees): 4.9199 4.9199 4.9199 90.00 90.00 90.00
Closest atoms and distances in Å follow each position.
Atoms (fractional coordinates):
Ge 0.0000 0.0000 0.5000  2 W 2.46
Ge 0.0000 0.5000 0.0000  2 W 2.46
Ge 0.5000 0.0000 0.0000  2 W 2.46
W 0.0000 0.0000 0.0000  6 Ge 2.46
S 0.5000 0.5000 0.5000  12 Ge 3.48

Summary:
* total magnetic moment: 0.3967 μB per atom
* energy above the most stable polymorph in this dataset: 0 meV per atom
* ΔE_f (raw): 0.653 eV per atom